# 1
Material: La2SiGe3Ir4
Method: DFT, GGA-PBE
State: relaxed

a = 4.2927 Å, b = 4.2927 Å, c = 10.1911 Å
α = 90.00°, β = 90.00°, γ = 90.00°
Closest atoms and distances in Å follow each position.
Fractional positions:
Ir 0.0000 0.5000 0.3777  3 Ge 2.48-2.51, 2 Si 2.48
Ir 0.0000 0.0000 0.0000  4 Ge 2.53
Ge 0.0000 0.0000 0.5000  4 Ir 2.48
Ge 0.5000 0.0000 0.8684  5 Ir 2.51-2.53
La 0.5000 0.0000 0.2573  8 Ir 3.27-3.39, 2 Si 3.28, 6 Ge 3.28-3.29
Ir 0.5000 0.0000 0.6223  2 Si 2.48, 3 Ge 2.48-2.51
Si 0.5000 0.5000 0.5000  4 Ir 2.48
Ge 0.0000 0.5000 0.1316  5 Ir 2.51-2.53
Ir 0.5000 0.5000 0.0000  4 Ge 2.53
La 0.0000 0.5000 0.7427  8 Ir 3.27-3.39, 6 Ge 3.28-3.29, 2 Si 3.28

DFT total energy: -7.310 eV per atom
D(E_F): 0.56 states/eV per atom
ρ: 11.43 g cm⁻³
M_tot: 0.0 μB per formula unit
Uncorrected formation energy: -0.852 eV per atom



# 2
Material: Ca2MgOsN
Method: DFT, GGA-PBE
State: relaxed

a = 5.1020 Å, b = 5.1020 Å, c = 3.8456 Å
α = 90.00°, β = 90.00°, γ = 90.00°
Closest atoms and distances in Å follow each position.
Fractional positions:
Ca 0.5000 0.0000 0.0000  2 N 2.55
Ca 0.0000 0.5000 0.0000  2 N 2.55
Os 0.0000 0.0000 0.5000  2 N 1.92
Mg 0.5000 0.5000 0.5000  8 Ca 3.19
N 0.0000 0.0000 0.0000  2 Os 1.92

DFT total energy: -5.356 eV per atom
D(E_F): 0.56 states/eV per atom
ρ: 5.12 g cm⁻³
M_tot: 0.0 μB per formula unit
Uncorrected formation energy: -0.326 eV per atom



# 3
Material: MgTa2N3
Method: DFT, GGA-PBE
State: relaxed

a = 5.2457 Å, b = 5.2457 Å, c = 10.4928 Å
α = 90.00°, β = 90.00°, γ = 120.00°
Closest atoms and distances in Å follow each position.
Fractional positions:
Mg 0.6667 0.3333 0.0000  6 N 2.16
N 0.6704 0.0000 0.3797  4 Ta 2.14-2.22, 2 Mg 2.16
Mg 0.6667 0.3333 0.5000  6 N 2.16
Ta 0.0000 0.6641 0.7500  6 N 2.21-2.22
Ta 0.0000 0.0000 0.5000  6 N 2.14
Ta 0.6641 0.0000 0.7500  6 N 2.21-2.22
Ta 0.3359 0.0000 0.2500  6 N 2.21-2.22
Mg 0.3333 0.6667 0.0000  6 N 2.16
N 0.6704 0.0000 0.1203  4 Ta 2.14-2.22, 2 Mg 2.16
Ta 0.6641 0.6641 0.2500  6 N 2.21-2.22
Ta 0.0000 0.0000 0.0000  6 N 2.14
N 0.3296 0.3296 0.3797  4 Ta 2.14-2.22, 2 Mg 2.16
N 0.3296 0.0000 0.6203  4 Ta 2.14-2.22, 2 Mg 2.16
N 0.0000 0.3296 0.8797  4 Ta 2.14-2.22, 2 Mg 2.16
N 0.0000 0.3296 0.6203  4 Ta 2.14-2.22, 2 Mg 2.16
Ta 0.0000 0.3359 0.2500  6 N 2.21-2.22
N 0.0000 0.6704 0.1203  4 Ta 2.14-2.22, 2 Mg 2.16
Mg 0.3333 0.6667 0.5000  6 N 2.16
N 0.6704 0.6704 0.6203  4 Ta 2.14-2.22, 2 Mg 2.16
N 0.3296 0.3296 0.1203  4 Ta 2.14-2.22, 2 Mg 2.16
N 0.6704 0.6704 0.8797  4 Ta 2.14-2.22, 2 Mg 2.16
Ta 0.3359 0.3359 0.7500  6 N 2.21-2.22
N 0.3296 0.0000 0.8797  4 Ta 2.14-2.22, 2 Mg 2.16
N 0.0000 0.6704 0.3797  4 Ta 2.14-2.22, 2 Mg 2.16

DFT total energy: -9.587 eV per atom
D(E_F): 0.04 states/eV per atom
ρ: 11.38 g cm⁻³
M_tot: 0.0 μB per formula unit
Uncorrected formation energy: -1.207 eV per atom



# 4
Material: ZnCd2O3
Method: DFT, GGA-PBE
State: relaxed

a = 3.4811 Å, b = 5.0070 Å, c = 6.1047 Å
α = 114.21°, β = 106.57°, γ = 90.00°
Closest atoms and distances in Å follow each position.
Fractional positions:
O 0.0000 0.0367 0.0000  2 Zn 2.04, 2 Cd 2.24
Cd 0.8367 0.5891 0.6734  4 O 2.22-2.24
O 0.6549 0.6312 0.3098  1 Zn 2.00, 3 Cd 2.22-2.23
O 0.3451 0.3214 0.6902  1 Zn 2.00, 3 Cd 2.22-2.23
Cd 0.1633 0.9157 0.3266  4 O 2.22-2.24
Zn 0.5000 0.2488 0.0000  4 O 2.00-2.04

DFT total energy: -4.126 eV per atom
D(E_F): 0.17 states/eV per atom
ρ: 6.09 g cm⁻³
M_tot: 0.0 μB per formula unit
Uncorrected formation energy: -1.129 eV per atom



# 5
Material: Nd4SiTe2Cl
Method: DFT, GGA-PBE
State: relaxed

a = 4.3227 Å, b = 7.4584 Å, c = 7.7009 Å
α = 108.93°, β = 90.00°, γ = 90.00°
Closest atoms and distances in Å follow each position.
Fractional positions:
Nd 0.0000 0.2713 0.7806  2 Si 2.93, 1 Cl 3.03, 3 Te 3.16-3.26
Cl 0.0000 0.0000 0.0000  6 Nd 3.03
Te 0.0000 0.5000 0.5000  6 Nd 3.16
Si 0.5000 0.5000 0.0000  6 Nd 2.88-2.93
Te 0.5000 0.0000 0.5000  6 Nd 3.26-3.29
Nd 0.5000 0.7433 0.7761  1 Si 2.88, 2 Cl 3.03, 2 Te 3.16
Nd 0.0000 0.7287 0.2194  2 Si 2.93, 1 Cl 3.03, 3 Te 3.16-3.26
Nd 0.5000 0.2567 0.2239  1 Si 2.88, 2 Cl 3.03, 2 Te 3.16

DFT total energy: -5.387 eV per atom
D(E_F): 0.51 states/eV per atom
ρ: 6.33 g cm⁻³
M_tot: 0.0 μB per formula unit
Uncorrected formation energy: -1.309 eV per atom



# 6
Material: Dy2Ho4Sc5
Method: DFT, GGA-PBE
State: relaxed

a = 3.4373 Å, b = 8.6694 Å, c = 11.1625 Å
α = 108.78°, β = 90.00°, γ = 90.00°
Closest atoms and distances in Å follow each position.
Fractional positions:
Sc 0.0000 0.4960 0.6308  1 Sc 2.94, 4 Ho 3.18-3.20
Dy 0.0000 0.1340 0.4077  3 Sc 3.32-3.37, 3 Dy 3.44-3.57, 4 Ho 3.54-3.71
Ho 0.5000 0.2402 0.7181  4 Sc 3.20-3.22, 2 Ho 3.44, 2 Dy 3.54
Ho 0.5000 0.7470 0.8470  6 Sc 3.18-3.32, 2 Ho 3.44
Ho 0.5000 0.7598 0.2819  4 Sc 3.20-3.22, 2 Ho 3.44, 2 Dy 3.54
Sc 0.0000 0.5000 0.0000  4 Sc 3.37-3.44, 8 Ho 3.58-3.66
Sc 0.0000 0.9108 0.1025  4 Sc 3.15-3.44, 6 Ho 3.22-3.32, 1 Dy 3.33
Dy 0.0000 0.8660 0.5923  3 Sc 3.32-3.37, 3 Dy 3.44-3.57, 4 Ho 3.54-3.71
Ho 0.5000 0.2530 0.1530  6 Sc 3.18-3.32, 2 Ho 3.44
Sc 0.0000 0.5040 0.3692  1 Sc 2.94, 4 Ho 3.18-3.20
Sc 0.0000 0.0892 0.8975  4 Sc 3.15-3.44, 6 Ho 3.22-3.32, 1 Dy 3.33

DFT total energy: -5.251 eV per atom
D(E_F): 1.11 states/eV per atom
Formation energy: 128.1 meV per atom
ρ: 6.38 g cm⁻³
M_tot: 0.4 μB per formula unit



# 7
Material: Pr4Sm3Y8
Method: DFT, GGA-PBE
State: relaxed

a = 7.0578 Å, b = 7.0578 Å, c = 12.6235 Å
α = 73.77°, β = 73.77°, γ = 60.00°
Closest atoms and distances in Å follow each position.
Fractional positions:
Pr 0.0000 0.0000 0.0000  6 Y 3.62
Y 0.2486 0.7501 0.2512  6 Y 3.52-3.54, 3 Pr 3.55-3.62, 2 Sm 3.60
Pr 0.5000 0.5000 0.5000  6 Sm 3.53, 6 Y 3.61
Pr 0.3361 0.3361 0.9916  4 Y 3.25-3.55
Sm 0.0000 0.5000 0.5000  6 Y 3.48-3.60, 4 Sm 3.53, 2 Pr 3.53
Y 0.2499 0.7514 0.7488  6 Y 3.52-3.54, 3 Pr 3.55-3.62, 2 Sm 3.60
Sm 0.5000 0.0000 0.5000  6 Y 3.48-3.60, 4 Sm 3.53, 2 Pr 3.53
Y 0.2499 0.2499 0.7488  6 Y 3.52-3.54, 3 Pr 3.55-3.62, 2 Sm 3.60
Y 0.7501 0.7501 0.2512  6 Y 3.52-3.54, 3 Pr 3.55-3.62, 2 Sm 3.60
Y 0.7501 0.2486 0.2512  6 Y 3.52-3.54, 3 Pr 3.55-3.62, 2 Sm 3.60
Y 0.7547 0.7547 0.7360  1 Pr 3.25, 3 Sm 3.48, 6 Y 3.53
Sm 0.0000 0.0000 0.5000  6 Y 3.48-3.60, 2 Pr 3.53, 4 Sm 3.53
Pr 0.6639 0.6639 0.0084  4 Y 3.25-3.55
Y 0.2453 0.2453 0.2640  1 Pr 3.25, 3 Sm 3.48, 6 Y 3.53
Y 0.7514 0.2499 0.7488  6 Y 3.52-3.54, 3 Pr 3.55-3.62, 2 Sm 3.60

DFT total energy: -5.544 eV per atom
D(E_F): 1.59 states/eV per atom
Formation energy: 121.7 meV per atom
ρ: 5.56 g cm⁻³
M_tot: 0.0 μB per formula unit



# 8
Material: CeNdIrRu
Method: DFT, GGA-PBE
State: relaxed

a = 4.9561 Å, b = 4.9561 Å, c = 4.9561 Å
α = 60.00°, β = 60.00°, γ = 60.00°
Closest atoms and distances in Å follow each position.
Fractional positions:
Ce 0.0000 0.0000 0.0000  4 Ru 3.03, 4 Ir 3.03
Ir 0.2500 0.2500 0.2500  4 Ce 3.03, 4 Nd 3.03
Ru 0.7500 0.7500 0.7500  4 Nd 3.03, 4 Ce 3.03
Nd 0.5000 0.5000 0.5000  4 Ir 3.03, 4 Ru 3.03

DFT total energy: -7.603 eV per atom
D(E_F): 1.01 states/eV per atom
Formation energy: -393.5 meV per atom
ρ: 11.14 g cm⁻³
M_tot: 0.1 μB per formula unit



# 9
Material: Nd5Dy6Tm
Method: DFT, GGA-PBE
State: relaxed

a = 5.0904 Å, b = 10.1338 Å, c = 9.5122 Å
α = 122.19°, β = 105.53°, γ = 90.00°
Closest atoms and distances in Å follow each position.
Fractional positions:
Dy 0.8340 0.0827 0.6679  1 Tm 3.58, 7 Nd 3.58-3.62, 4 Dy 3.59-3.61
Dy 0.1660 0.9173 0.3321  1 Tm 3.58, 7 Nd 3.58-3.62, 4 Dy 3.59-3.61
Dy 0.5000 0.2480 0.0000  6 Nd 3.56-3.61, 2 Tm 3.58, 4 Dy 3.59
Dy 0.1660 0.4148 0.3321  1 Tm 3.58, 7 Nd 3.58-3.62, 4 Dy 3.59-3.61
Nd 0.3350 0.8348 0.6697  8 Dy 3.56-3.62, 2 Tm 3.58, 2 Nd 3.62
Nd 0.0000 0.5000 0.0000  8 Dy 3.59-3.61, 4 Nd 3.60
Dy 0.5000 0.7520 0.0000  6 Nd 3.56-3.61, 2 Tm 3.58, 4 Dy 3.59
Nd 0.6650 0.1652 0.3303  8 Dy 3.56-3.62, 2 Tm 3.58, 2 Nd 3.62
Nd 0.6667 0.6667 0.3334  8 Dy 3.59-3.61, 4 Nd 3.60-3.62
Dy 0.8340 0.5852 0.6679  1 Tm 3.58, 7 Nd 3.58-3.62, 4 Dy 3.59-3.61
Nd 0.3333 0.3333 0.6666  8 Dy 3.59-3.61, 4 Nd 3.60-3.62
Tm 0.0000 0.0000 0.0000  8 Dy 3.58, 4 Nd 3.58

DFT total energy: -4.642 eV per atom
D(E_F): 1.35 states/eV per atom
Formation energy: 18.7 meV per atom
ρ: 7.86 g cm⁻³
M_tot: 0.0 μB per formula unit



# 10
Material: Pr3Er3TmSe8
Method: DFT, GGA-PBE
State: relaxed

a = 8.2020 Å, b = 8.2020 Å, c = 8.3337 Å
α = 119.48°, β = 90.00°, γ = 120.00°
Closest atoms and distances in Å follow each position.
Fractional positions:
Se 0.2468 0.9871 0.7338  2 Er 2.85, 1 Tm 2.89, 2 Pr 3.00
Pr 0.0000 0.5000 0.0000  6 Se 3.00
Er 0.0000 0.5000 0.5000  6 Se 2.85
Se 0.2598 0.0129 0.2662  2 Er 2.85, 1 Tm 2.89, 2 Pr 3.00
Tm 0.0000 0.0000 0.5000  6 Se 2.89
Se 0.7434 0.4869 0.7302  3 Er 2.85, 3 Pr 3.00
Se 0.7532 0.0129 0.2662  2 Er 2.85, 1 Tm 2.89, 2 Pr 3.00
Se 0.7402 0.9871 0.7338  2 Er 2.85, 1 Tm 2.89, 2 Pr 3.00
Er 0.5000 0.5000 0.5000  6 Se 2.85
Se 0.2566 0.5131 0.2698  3 Er 2.85, 3 Pr 3.00
Er 0.5000 0.0000 0.5000  6 Se 2.85
Pr 0.5000 0.5000 0.0000  6 Se 3.00
Se 0.2468 0.4936 0.7339  2 Er 2.85, 1 Tm 2.89, 2 Pr 3.00
Pr 0.0000 0.0000 0.0000  6 Se 3.00
Se 0.7532 0.5064 0.2661  2 Er 2.85, 1 Tm 2.89, 2 Pr 3.00

DFT total energy: -5.860 eV per atom
D(E_F): 0.47 states/eV per atom
ρ: 7.17 g cm⁻³
M_tot: 0.0 μB per formula unit
Uncorrected formation energy: -1.835 eV per atom



# 11
Material: K4AlHg2
Method: DFT, GGA-PBE
State: relaxed

a = 6.6515 Å, b = 6.6515 Å, c = 9.6688 Å
α = 69.88°, β = 69.88°, γ = 90.00°
Closest atoms and distances in Å follow each position.
Fractional positions:
K 0.7965 0.7965 0.4071  1 Al 3.44, 1 Hg 3.46
Hg 0.5916 0.5916 0.8169  1 Hg 3.09, 1 K 3.46
Al 0.0000 0.0000 0.0000  6 K 3.33-3.44
Hg 0.4084 0.4084 0.1831  1 Hg 3.09, 1 K 3.46
K 0.5000 0.0000 0.0000  2 Al 3.33, 4 Hg 3.67
K 0.0000 0.5000 0.0000  2 Al 3.33, 4 Hg 3.67
K 0.2035 0.2035 0.5929  1 Al 3.44, 1 Hg 3.46

DFT total energy: -1.114 eV per atom
D(E_F): 0.61 states/eV per atom
Formation energy: 133.6 meV per atom
ρ: 2.60 g cm⁻³
M_tot: 0.0 μB per formula unit



# 12
Material: Tb12NdAl4N3
Method: DFT, GGA-PBE
State: relaxed

a = 8.5431 Å, b = 8.5431 Å, c = 8.5431 Å
α = 109.47°, β = 109.47°, γ = 109.47°
Closest atoms and distances in Å follow each position.
Fractional positions:
Tb 0.7255 0.7255 0.0000  1 N 2.22
Tb 0.2500 0.7500 0.5000  2 N 2.47
Tb 0.7255 0.0000 0.7255  1 N 2.22
Al 0.5000 0.5000 0.5000  12 Tb 3.49-3.50
N 0.0000 0.5000 0.5000  6 Tb 2.22-2.47
Tb 0.2745 0.0000 0.2745  1 N 2.22
N 0.5000 0.5000 0.0000  6 Tb 2.22-2.47
Tb 0.5000 0.7500 0.2500  2 N 2.47
Al 0.0000 0.0000 0.5000  12 Tb 3.49-3.50
Tb 0.2745 0.2745 0.0000  1 N 2.22
Nd 0.0000 0.0000 0.0000  6 Tb 2.71
Tb 0.2500 0.5000 0.7500  2 N 2.47
Tb 0.0000 0.2745 0.2745  1 N 2.22
N 0.5000 0.0000 0.5000  6 Tb 2.22-2.47
Al 0.5000 0.0000 0.0000  12 Tb 3.49-3.50
Al 0.0000 0.5000 0.0000  12 Tb 3.49-3.50
Tb 0.0000 0.7255 0.7255  1 N 2.22
Tb 0.7500 0.2500 0.5000  2 N 2.47
Tb 0.7500 0.5000 0.2500  2 N 2.47
Tb 0.5000 0.2500 0.7500  2 N 2.47

DFT total energy: -5.388 eV per atom
D(E_F): 0.70 states/eV per atom
ρ: 7.62 g cm⁻³
M_tot: 0.0 μB per formula unit
Uncorrected formation energy: -0.374 eV per atom